# 1
12
Lattice="-3.8356 3.8356 7.6733 3.8356 -3.8356 7.6733 3.8356 3.8356 -7.6733" Properties=species:S:1:pos:R:3 comment="DyY3Ho8, optimized geometry, DFT GGA-PBE" sg="I4/mmm (139)" dft_energy_ev_per_atom=-4.299 formation_energy_mev_per_atom=752 pbc="T T T"
Dy 0.0000 0.0000 0.0000
Y 3.8356 0.0000 3.8366
Y 0.0000 0.0000 7.6733
Y 0.0000 3.8356 3.8366
Ho 1.9096 1.9096 -1.9083
Ho 1.9260 -1.9260 5.7650
Ho 1.9096 1.9096 1.9083
Ho 1.9260 -1.9260 9.5816
Ho -1.9260 1.9260 5.7650
Ho 1.9260 1.9260 5.7650
Ho -1.9260 1.9260 9.5816
Ho 1.9260 1.9260 9.5816

---

# 2
12
Lattice="6.1294 0.0000 0.0000 -2.0094 5.8162 0.0000 -0.0766 -0.0743 10.7029" Properties=species:S:1:pos:R:3 comment="DyY8Ho3, optimized geometry, DFT GGA-PBE" sg="P-1 (2)" dft_energy_ev_per_atom=-5.813 formation_energy_mev_per_atom=24 pbc="T T T"
Dy 0.0000 0.0000 0.0000
Y -2.0347 5.7911 3.5763
Y 6.0781 -0.0492 7.1265
Y -1.0175 2.8959 1.7782
Y -1.0686 2.8460 8.9247
Y 3.0519 -0.0122 1.7780
Y 0.9915 5.7542 8.9249
Y 2.0347 2.8831 3.5759
Y 2.0087 2.8588 7.1270
Ho -1.0430 2.8710 5.3514
Ho 3.0264 -0.0372 5.3514
Ho 2.0600 2.9081 0.0000

---

# 3
11
Lattice="-1.7514 4.5080 11.5977 1.7514 -4.5080 11.5977 1.7514 4.5080 -11.5977" Properties=species:S:1:pos:R:3 comment="Dy5Y4Ho2, optimized geometry, DFT GGA-PBE" sg="Immm (71)" dft_energy_ev_per_atom=-5.022 relative_energy_mev_per_atom=126.4 formation_energy_mev_per_atom=253 pbc="T T T"
Dy 0.0000 0.0000 0.0000
Dy 1.7514 1.7874 -3.3802
Dy 1.7514 1.7874 3.3802
Dy 0.0000 2.7207 8.2175
Dy 0.0000 2.7207 14.9780
Y 1.7514 2.7793 0.0000
Y 1.7514 0.0000 9.3211
Y 0.0000 4.5080 2.2766
Y 0.0000 1.7287 11.5977
Ho 1.7514 0.0000 6.2262
Ho 0.0000 4.5080 5.3715

---

# 4
19
Lattice="6.1252 3.5364 4.7664 -6.1252 3.5364 4.7664 0.0000 -7.0727 4.7664" Properties=species:S:1:pos:R:3 comment="Dy12Y6Ho, optimized geometry, DFT GGA-PBE" sg="R-3 (148)" dft_energy_ev_per_atom=-5.013 relative_energy_mev_per_atom=0.0 formation_energy_mev_per_atom=176 pbc="T T T"
Dy -1.6082 -5.6861 6.0963
Dy -5.7284 -1.4504 8.2029
Dy -1.3400 -1.5110 4.4017
Dy -4.1202 4.2358 6.0963
Dy -0.6386 1.9160 4.4017
Dy 1.9786 -0.4050 4.4017
Dy -1.9786 0.4050 9.8975
Dy 0.6386 -1.9160 9.8975
Dy 4.1202 -4.2358 8.2029
Dy 1.3400 1.5110 9.8975
Dy 5.7284 1.4504 6.0963
Dy 1.6081 5.6861 8.2029
Y -3.3198 0.8126 6.5598
Y -2.3637 -2.4688 7.7393
Y 0.9561 -3.2814 6.5598
Y -0.9562 3.2814 7.7393
Y 2.3637 2.4687 6.5598
Y 3.3198 -0.8126 7.7393
Ho 0.0000 0.0000 7.1496

---

# 5
13
Lattice="3.6466 2.1053 9.0062 -3.6466 2.1053 9.0062 0.0000 -4.2107 9.0062" Properties=species:S:1:pos:R:3 comment="DyY4Ho8, optimized geometry, DFT GGA-PBE" sg="R-3m (166)" dft_energy_ev_per_atom=-4.943 formation_energy_mev_per_atom=217 pbc="T T T"
Dy 0.0000 0.0000 0.0000
Y -3.6466 0.0000 13.5093
Y -1.8233 1.0527 4.5031
Y 1.8233 1.0527 4.5031
Y 0.0000 0.0000 13.5093
Ho 0.0000 -1.8664 10.7523
Ho -1.6163 0.9332 10.7523
Ho 0.0000 0.0000 7.6547
Ho -1.6163 -0.9332 16.2664
Ho 1.6163 0.9332 10.7523
Ho 0.0000 0.0000 19.3639
Ho 1.6163 -0.9332 16.2664
Ho 0.0000 1.8664 16.2664

---

# 6
11
Lattice="-1.7702 5.5832 9.0626 1.7702 -5.5832 9.0626 1.7702 5.5832 -9.0626" Properties=species:S:1:pos:R:3 comment="Dy4Y3Ho4, optimized geometry, DFT GGA-PBE" sg="Immm (71)" dft_energy_ev_per_atom=-4.925 relative_energy_mev_per_atom=28.6 formation_energy_mev_per_atom=176 pbc="T T T"
Dy 0.0000 0.0000 4.0250
Dy 1.7702 3.2699 0.0000
Dy 0.0000 2.3133 9.0626
Dy 0.0000 0.0000 14.1001
Y 0.0000 0.0000 0.0000
Y 1.7702 0.0000 7.1040
Y 0.0000 5.5832 1.9585
Ho 1.7702 2.6740 -3.0856
Ho 1.7702 2.6740 3.0856
Ho 0.0000 2.9092 5.9769
Ho 0.0000 2.9092 12.1482

---

# 7
20
Lattice="-4.8965 9.9917 3.3567 4.8965 -9.9917 3.3567 4.8965 9.9917 -3.3567" Properties=species:S:1:pos:R:3 comment="Dy3Y5Ho2, optimized geometry, DFT GGA-PBE" sg="Ibam (72)" dft_energy_ev_per_atom=-5.285 relative_energy_mev_per_atom=49.9 formation_energy_mev_per_atom=243 pbc="T T T"
Dy 6.7238 2.4951 0.0000
Dy 0.0000 0.0000 1.6784
Dy 1.8272 7.4966 0.0000
Dy 3.0693 2.4951 3.3567
Dy 0.0000 0.0000 5.0351
Dy -1.8272 7.4966 3.3567
Y 4.8965 6.6538 -1.6784
Y 3.2360 4.1834 0.0000
Y 4.8965 0.0000 1.6784
Y 3.2360 -4.1834 3.3567
Y 0.0000 3.3379 1.6784
Y 4.8965 6.6538 1.6784
Y 1.6605 14.1751 0.0000
Y 0.0000 9.9917 1.6784
Y 1.6605 5.8083 3.3567
Y 0.0000 3.3379 5.0351
Ho 2.4445 1.1311 0.0000
Ho 2.4445 -1.1311 3.3567
Ho 2.4520 11.1228 0.0000
Ho 2.4520 8.8605 3.3567

---

# 8
13
Lattice="6.1503 0.0000 0.0000 1.0277 7.8790 0.0000 1.0163 3.8669 8.5215" Properties=species:S:1:pos:R:3 comment="Dy4Y7Ho2, optimized geometry, DFT GGA-PBE" sg="P-1 (2)" dft_energy_ev_per_atom=-5.578 formation_energy_mev_per_atom=23 pbc="T T T"
Dy 1.0330 4.6839 2.9501
Dy 2.0470 3.7467 6.2281
Dy 6.1473 7.9992 2.2935
Dy 7.1613 7.0620 5.5715
Y 1.0157 2.2594 0.3234
Y 3.0662 9.2134 3.6048
Y 4.0936 8.2750 6.8850
Y 4.0971 5.8729 4.2608
Y 4.1007 3.4709 1.6366
Y 5.1281 2.5324 4.9167
Y 7.1786 9.4865 8.1982
Ho 3.0792 6.8178 0.9790
Ho 5.1151 4.9281 7.5426

---

# 9
18
Lattice="7.5730 -5.6951 0.0000 7.5730 5.6951 0.0000 -6.4215 0.0000 7.5952" Properties=species:S:1:pos:R:3 comment="Dy5Y3Ho, optimized geometry, DFT GGA-PBE" sg="C2/m (12)" dft_energy_ev_per_atom=-4.684 relative_energy_mev_per_atom=363.4 formation_energy_mev_per_atom=536 pbc="T T T"
Dy 3.6346 2.8639 1.8800
Dy 1.8747 0.0000 1.7734
Dy 7.5730 2.9275 0.0000
Dy -1.9646 0.0000 7.3124
Dy 5.0899 2.8639 5.7152
Dy 3.6346 -2.8639 1.8800
Dy 10.6892 0.0000 0.2828
Dy 7.5730 -2.9275 0.0000
Dy 6.8498 0.0000 5.8218
Dy 5.0899 -2.8639 5.7152
Y -3.2108 0.0000 3.7976
Y -5.0933 0.0000 6.2206
Y 3.1635 0.0000 4.8501
Y 7.5730 0.0000 0.0000
Y 5.5610 0.0000 2.7451
Y 13.8178 0.0000 1.3746
Ho -0.0927 0.0000 4.5577
Ho 8.8172 0.0000 3.0375

---

# 10
13
Lattice="-6.3933 6.3933 2.5007 6.3933 -6.3933 2.5007 6.3933 6.3933 -2.5007" Properties=species:S:1:pos:R:3 comment="Dy4Y4Ho5, optimized geometry, DFT GGA-PBE" sg="I4/m (87)" dft_energy_ev_per_atom=-5.145 formation_energy_mev_per_atom=21 pbc="T T T"
Dy 9.8452 1.9621 0.0000
Dy 1.9621 2.9414 0.0000
Dy 4.4312 3.4519 2.5007
Dy -3.4519 4.4312 2.5007
Y 4.9065 0.9962 0.0000
Y 5.3971 -1.4867 2.5007
Y 0.9962 7.8800 0.0000
Y 1.4867 5.3971 2.5007
Ho 0.0000 0.0000 0.0000
Ho 6.8941 3.9484 0.0000
Ho 3.9484 5.8925 0.0000
Ho 2.4448 0.5008 2.5007
Ho -0.5008 2.4448 2.5007

---

# 11
10
Lattice="-5.2768 5.2768 2.9419 5.2768 -5.2768 2.9419 5.2768 5.2768 -2.9419" Properties=species:S:1:pos:R:3 comment="DyY4Ho5, optimized geometry, DFT GGA-PBE" sg="I4mm (107)" dft_energy_ev_per_atom=-5.083 relative_energy_mev_per_atom=193.2 formation_energy_mev_per_atom=252 pbc="T T T"
Dy 0.0000 0.0000 0.0000
Y 3.3936 0.0000 1.3902
Y 7.1600 0.0000 1.3902
Y 0.0000 3.3936 1.3902
Y 0.0000 7.1600 1.3902
Ho 0.0000 0.0000 2.7722
Ho 3.2891 3.2891 1.3877
Ho 1.9876 -1.9876 4.3295
Ho -1.9876 1.9876 4.3295
Ho 1.9876 1.9876 4.3295

---

# 12
20
Lattice="6.3825 3.6849 4.5434 -6.3825 3.6849 4.5434 0.0000 -7.3698 4.5434" Properties=species:S:1:pos:R:3 comment="Dy12YHo7, optimized geometry, DFT GGA-PBE" sg="R-3 (148)" dft_energy_ev_per_atom=-4.386 relative_energy_mev_per_atom=0.0 formation_energy_mev_per_atom=301 pbc="T T T"
Dy -0.4023 -2.2117 2.0726
Dy -1.7142 1.4543 2.0726
Dy -3.5970 1.1309 5.6850
Dy -2.7778 -2.5496 7.9451
Dy 0.8191 -3.6805 5.6850
Dy 2.1166 0.7574 2.0726
Dy -2.1166 -0.7574 11.5575
Dy -0.8191 3.6805 7.9451
Dy 2.7778 2.5496 5.6850
Dy 3.5970 -1.1309 7.9451
Dy 1.7142 -1.4543 11.5575
Dy 0.4023 2.2117 11.5575
Y 0.0000 0.0000 6.8151
Ho 0.0000 0.0000 0.0000
Ho -1.7154 -1.4552 4.7298
Ho -0.4026 2.2131 4.7298
Ho 2.1179 -0.7579 4.7298
Ho -2.1179 0.7579 8.9003
Ho 0.4026 -2.2131 8.9003
Ho 1.7154 1.4552 8.9003